PBE-GGA SrGdZnPt, optimized geometry; calculated volume = 24.19 Å³/atom; DOS at the Fermi energy = 2.30 states/eV/f.u.; magnetization = 7.134 μB/cell; ΔE_f = -561 meV/atom
1.0
0.000 3.644 3.644
3.644 0.000 3.644
3.644 3.644 0.000
Sr Gd Zn Pt
1 1 1 1
direct
0.000 0.000 0.000 Sr
0.500 0.500 0.500 Gd
0.250 0.250 0.250 Zn
0.750 0.750 0.750 Pt


PBE-GGA TbGdPt4, optimized geometry; calculated volume = 19.08 Å³/atom; DOS at the Fermi energy = 2.04 states/eV/f.u.; magnetization = 7.070 μB/cell; ΔE_f = -1117 meV/atom
1.0
0.000 3.854 3.854
3.854 0.000 3.854
3.854 3.854 0.000
Tb Gd Pt
1 1 4
direct
0.000 0.000 0.000 Tb
0.750 0.750 0.750 Gd
0.375 0.375 0.375 Pt
0.375 0.375 0.875 Pt
0.375 0.875 0.375 Pt
0.875 0.375 0.375 Pt


PBE-GGA TbGdPt2, optimized geometry; calculated volume = 21.76 Å³/atom; DOS at the Fermi energy = 2.61 states/eV/f.u.; magnetization = 7.101 μB/cell; ΔE_f = -1181 meV/atom
1.0
4.999 0.000 0.000
0.000 4.999 0.000
0.000 0.000 3.483
Tb Gd Pt
1 1 2
direct
0.000 0.000 0.000 Tb
0.500 0.500 0.000 Gd
0.000 0.500 0.500 Pt
0.500 0.000 0.500 Pt